! PBE-GGA NaLaReP2, optimized geometry; values from VASP
! Calculated volume   23.0 Å³/atom
! Crystal system   tetragonal
! Energy of formation   1.489 eV per atom
&SYSTEM
  ibrav = 0, nat = 5, ntyp = 4
/
ATOMIC_SPECIES
Na 22.99 Na.upf
La 138.91 La.upf
Re 186.21 Re.upf
P 30.97 P.upf
CELL_PARAMETERS angstrom
4.779 0.000 0.000
0.000 4.779 0.000
0.000 0.000 5.041
ATOMIC_POSITIONS angstrom
Na 0.000 0.000 0.000
La 0.000 0.000 2.520
Re 2.390 2.390 2.520
P 0.000 2.390 0.000
P 2.390 0.000 0.000